! K2InTe2 (PBE, relaxed); values from VASP
! Mass density: 3.567 g cm⁻³
! DOS(E_F): 2.099 states/eV per cell
! Final energy: -13.0 eV for the cell shown
! Raw formation energy: -0.37 eV/atom
! SG: I4/mmm
&SYSTEM
  ibrav = 0, nat = 5, ntyp = 3
/
ATOMIC_SPECIES
K 39.10 K.upf
Te 127.60 Te.upf
In 114.82 In.upf
ATOMIC_POSITIONS angstrom
K 2.641 5.283 3.739
K 5.283 2.641 3.739
Te 2.641 2.641 1.555
Te 5.283 5.283 5.923
In 0.000 0.000 0.000
CELL_PARAMETERS angstrom
5.283 0.000 0.000
0.000 5.283 0.000
2.641 2.641 7.478

! PmAg2Sn (PBE, relaxed); values from VASP
! Mass density: 8.766 g cm⁻³
! DOS(E_F): 2.131 states/eV per cell
! Final energy: -16.0 eV for the cell shown
! Energy of formation from the pure elements: -377 meV per atom
! SG: Fm-3m
&SYSTEM
  ibrav = 0, nat = 4, ntyp = 3
/
ATOMIC_SPECIES
Sn 118.71 Sn.upf
Pm 145.00 Pm.upf
Ag 107.87 Ag.upf
ATOMIC_POSITIONS angstrom
Sn 0.000 0.000 0.000
Pm 0.435 -4.654 -4.042
Ag 0.652 -6.981 -6.062
Ag 0.217 -2.327 -2.021
CELL_PARAMETERS angstrom
-2.472 -2.656 -3.506
2.453 -1.712 -4.063
0.889 -4.940 -0.514

! Gd2IrBr (PBE, relaxed); values from VASP
! Mass density: 7.507 g cm⁻³
! DOS(E_F): 1.707 states/eV per cell
! Final energy: -42.8 eV for the cell shown
! Raw formation energy: -1.04 eV/atom
! SG: R-3m
&SYSTEM
  ibrav = 0, nat = 4, ntyp = 3
/
ATOMIC_SPECIES
Gd 157.25 Gd.upf
Ir 192.22 Ir.upf
Br 79.90 Br.upf
ATOMIC_POSITIONS angstrom
Gd 6.272 3.621 2.859
Gd 2.091 1.207 5.710
Ir 4.182 2.414 4.285
Br 0.000 0.000 0.000
CELL_PARAMETERS angstrom
4.182 0.000 0.000
2.091 3.621 0.000
2.091 1.207 8.570

! ThZn10Ag2 (PBE, relaxed); values from VASP
! Mass density: 8.304 g cm⁻³
! DOS(E_F): 5.522 states/eV per cell
! Final energy: -27.4 eV for the cell shown
! Energy of formation from the pure elements: -119 meV per atom
! SG: Fmmm
&SYSTEM
  ibrav = 0, nat = 13, ntyp = 3
/
ATOMIC_SPECIES
Zn 65.41 Zn.upf
Ag 107.87 Ag.upf
Th 232.04 Th.upf
ATOMIC_POSITIONS angstrom
Zn 2.938 -3.415 6.531
Zn 1.143 -1.627 5.961
Zn 3.712 -0.617 6.437
Zn 2.240 0.534 4.612
Zn 3.468 -1.787 3.718
Zn 3.233 -3.999 9.428
Zn 2.824 0.284 1.990
Zn 0.848 -1.043 3.064
Zn 0.613 -3.255 8.773
Zn 0.369 -4.425 6.055
Ag -0.200 -3.055 1.634
Ag -0.784 -2.805 4.256
Th 0.000 0.000 0.000
CELL_PARAMETERS angstrom
-1.168 0.499 5.243
-0.400 -6.109 3.268
5.649 0.568 3.980

! Si2IrRu (PBE, relaxed); values from VASP
! Mass density: 11.034 g cm⁻³
! DOS(E_F): 2.139 states/eV per cell
! Final energy: -30.8 eV for the cell shown
! Raw formation energy: -0.46 eV/atom
! SG: Cmmm
&SYSTEM
  ibrav = 0, nat = 4, ntyp = 3
/
ATOMIC_SPECIES
Si 28.09 Si.upf
Ru 101.07 Ru.upf
Ir 192.22 Ir.upf
ATOMIC_POSITIONS angstrom
Si 0.000 0.000 0.000
Si 0.888 -1.586 -2.240
Ru 0.600 -2.504 0.153
Ir -1.591 -1.156 -1.670
CELL_PARAMETERS angstrom
-1.302 -0.237 -4.063
3.078 -2.934 -0.418
-1.879 -2.075 0.724

! LiSnGe2P (PBE, relaxed); values from VASP
! Mass density: 3.747 g cm⁻³
! DOS(E_F): 2.788 states/eV per cell
! Final energy: -16.2 eV for the cell shown
! Energy of formation from the pure elements: 877 meV per atom
! SG: P4/mmm
&SYSTEM
  ibrav = 0, nat = 5, ntyp = 4
/
ATOMIC_SPECIES
Li 6.94 Li.upf
Ge 72.64 Ge.upf
P 30.97 P.upf
Sn 118.71 Sn.upf
ATOMIC_POSITIONS angstrom
Li 0.000 2.447 0.000
Ge 0.000 0.000 2.614
Ge 2.614 0.000 0.000
P 2.614 2.447 2.614
Sn 0.000 0.000 0.000
CELL_PARAMETERS angstrom
5.229 0.000 0.000
0.000 4.894 0.000
0.000 0.000 5.229

! NbMo6W3 (PBE, relaxed); values from VASP
! Mass density: 12.562 g cm⁻³
! DOS(E_F): 7.443 states/eV per cell
! Final energy: -229.0 eV for the cell shown
! Energy of formation from the pure elements: -60 meV per atom
! SG: P2_1/m
&SYSTEM
  ibrav = 0, nat = 20, ntyp = 3
/
ATOMIC_SPECIES
W 183.84 W.upf
Mo 95.94 Mo.upf
Nb 92.91 Nb.upf
ATOMIC_POSITIONS angstrom
W 1.125 4.303 8.149
W 3.374 1.796 -0.774
W 3.374 5.657 1.542
W 1.125 3.727 0.377
W 3.374 2.372 6.998
W 1.125 0.443 5.834
Mo 1.125 5.968 5.451
Mo 3.374 0.132 1.925
Mo 3.374 -0.351 7.211
Mo 3.374 2.901 1.709
Mo 3.374 5.144 6.812
Mo 3.374 1.232 4.483
Mo 1.125 6.451 0.165
Mo 1.125 1.562 8.367
Mo 1.125 3.198 5.666
Mo 3.374 4.537 -0.991
Mo 1.125 4.868 2.893
Mo 1.125 0.956 0.564
Nb 1.125 2.074 3.099
Nb 3.374 4.026 4.277
CELL_PARAMETERS angstrom
4.498 0.000 0.000
0.000 7.140 -3.123
0.000 -1.040 10.498

! Pa2ReRh (PBE, relaxed); values from VASP
! Mass density: 15.187 g cm⁻³
! DOS(E_F): 6.054 states/eV per cell
! Final energy: -39.8 eV for the cell shown
! Energy of formation from the pure elements: -256 meV per atom
! SG: Fm-3m
&SYSTEM
  ibrav = 0, nat = 4, ntyp = 3
/
ATOMIC_SPECIES
Re 186.21 Re.upf
Pa 231.04 Pa.upf
Rh 102.91 Rh.upf
ATOMIC_POSITIONS angstrom
Re 0.000 0.000 0.000
Pa -0.810 -2.856 0.334
Pa -2.430 -8.569 1.003
Rh -1.620 -5.713 0.668
CELL_PARAMETERS angstrom
-3.523 -3.267 -0.848
1.160 -4.620 -1.058
-0.877 -3.539 3.242

! Hf2SnAu2 (PBE, relaxed); values from VASP
! Mass density: 12.292 g cm⁻³
! DOS(E_F): 3.655 states/eV per cell
! Final energy: -30.9 eV for the cell shown
! Energy of formation from the pure elements: -86 meV per atom
! SG: I4/mmm
&SYSTEM
  ibrav = 0, nat = 5, ntyp = 3
/
ATOMIC_SPECIES
Au 196.97 Au.upf
Hf 178.49 Hf.upf
Sn 118.71 Sn.upf
ATOMIC_POSITIONS angstrom
Au 1.922 -7.074 2.630
Au 0.955 -3.285 0.423
Hf -0.085 -5.638 1.407
Hf 2.962 -4.721 1.645
Sn 0.000 0.000 0.000
CELL_PARAMETERS angstrom
-2.100 -3.847 -1.072
3.993 -2.014 -0.595
0.984 -4.498 4.720

! Y2Tm12Sc (PBE, relaxed); values from VASP
! Mass density: 7.665 g cm⁻³
! DOS(E_F): 45.687 states/eV per cell
! Final energy: -135.3 eV for the cell shown
! Energy of formation from the pure elements: 350 meV per atom
! SG: P4/nbm
&SYSTEM
  ibrav = 0, nat = 30, ntyp = 3
/
ATOMIC_SPECIES
Tm 168.93 Tm.upf
Sc 44.96 Sc.upf
Y 88.91 Y.upf
ATOMIC_POSITIONS angstrom
Tm 6.887 6.058 13.932
Tm -2.520 -0.600 6.787
Tm 0.494 0.876 6.743
Tm 0.659 0.043 3.496
Tm -1.922 1.730 4.576
Tm 4.819 3.907 5.420
Tm 7.184 3.349 11.930
Tm 2.046 3.300 12.013
Tm 2.822 5.559 9.695
Tm 11.212 9.089 12.609
Tm 9.400 7.620 10.571
Tm 3.007 2.438 3.382
Tm 9.199 7.441 19.287
Tm 11.753 7.070 17.284
Tm 3.749 6.464 12.739
Tm 11.047 9.922 15.856
Tm 5.407 3.692 8.742
Tm 8.699 7.527 15.970
Tm 4.633 3.540 14.060
Tm 6.299 6.273 10.609
Tm 0.061 -2.287 5.707
Tm 8.493 10.293 17.859
Tm 4.631 1.434 11.060
Tm 2.306 2.345 8.781
Sc 0.054 -2.591 1.820
Sc -2.568 1.029 1.541
Y 7.776 9.414 13.173
Y 1.308 4.171 5.900
Y 3.930 0.551 6.178
Y 10.398 5.794 13.452
CELL_PARAMETERS angstrom
-5.135 2.058 3.083
0.108 -5.182 3.639
14.219 11.527 15.991

! FeRe2Si (PBE, relaxed); values from VASP
! Mass density: 13.612 g cm⁻³
! DOS(E_F): 3.205 states/eV per cell
! Final energy: -37.9 eV for the cell shown
! Raw formation energy: 0.22 eV/atom
! SG: Cmmm
&SYSTEM
  ibrav = 0, nat = 4, ntyp = 3
/
ATOMIC_SPECIES
Fe 55.84 Fe.upf
Re 186.21 Re.upf
Si 28.09 Si.upf
ATOMIC_POSITIONS angstrom
Fe 0.836 1.253 6.129
Re 0.000 0.000 4.027
Re 0.000 0.000 0.059
Si 0.836 1.253 2.043
CELL_PARAMETERS angstrom
2.717 -0.002 0.000
-1.045 2.508 0.000
0.000 0.000 8.172

! Pm5Pr3Bi12 (PBE, relaxed); values from VASP
! Mass density: 7.393 g cm⁻³
! DOS(E_F): 64.650 states/eV per cell
! Final energy: -359.3 eV for the cell shown
! Energy of formation from the pure elements: -259 meV per atom
! SG: Ia-3d
&SYSTEM
  ibrav = 0, nat = 80, ntyp = 3
/
ATOMIC_SPECIES
Bi 208.98 Bi.upf
Pr 140.91 Pr.upf
Pm 145.00 Pm.upf
ATOMIC_POSITIONS angstrom
Bi 1.399 3.298 4.979
Bi -3.415 -3.254 11.864
Bi 0.442 -2.445 13.341
Bi 2.088 11.156 8.178
Bi -1.280 -4.725 8.868
Bi -5.485 -2.731 7.049
Bi -10.438 -10.499 5.710
Bi -4.085 1.236 3.742
Bi -12.566 -0.152 2.254
Bi -4.120 -4.005 3.278
Bi -9.749 -2.642 8.910
Bi -8.793 3.102 0.547
Bi -0.858 -4.310 3.593
Bi -5.189 -5.357 9.012
Bi -3.556 8.202 8.964
Bi -4.266 -0.579 10.146
Bi 0.073 0.854 3.217
Bi -10.777 3.264 3.168
Bi -6.740 8.199 8.130
Bi 1.183 8.365 6.686
Bi -7.664 -0.599 1.401
Bi -3.161 6.013 4.876
Bi -1.653 -1.791 7.424
Bi -2.866 3.387 6.839
Bi -10.136 11.016 5.264
Bi -11.003 0.034 -0.637
Bi -0.687 1.256 12.487
Bi -4.231 4.661 10.610
Bi 4.216 0.808 11.634
Bi -9.171 -0.178 4.297
Bi 0.820 0.835 9.591
Bi -6.697 2.448 6.464
Bi -8.424 -0.198 10.672
Bi 0.985 5.483 9.747
Bi -9.534 -7.708 7.202
Bi -7.071 5.382 5.021
Bi -4.936 3.911 2.024
Bi 4.113 4.880 10.576
Bi 2.652 0.623 14.525
Bi -7.493 4.967 10.295
Bi 1.785 -10.359 8.624
Bi 2.426 -2.607 10.720
Bi -1.610 -7.542 5.758
Bi -4.795 -7.545 4.924
Bi -10.906 8.523 3.258
Bi -12.464 -4.223 3.313
Bi 2.555 -7.866 10.631
Bi -9.336 -4.826 4.142
Pr -3.124 -4.751 6.238
Pr -10.301 -2.385 1.811
Pr -1.782 3.461 3.500
Pr -5.227 5.407 7.650
Pr 1.951 3.041 12.078
Pr 3.936 -2.142 13.516
Pr -11.337 -7.300 4.577
Pr -6.569 -2.804 10.388
Pr 2.987 7.956 9.311
Pr -12.286 2.799 0.372
Pr -7.399 2.321 3.333
Pr -0.952 -1.664 10.555
Pm -5.430 7.131 2.711
Pm -7.908 0.748 -1.633
Pm -1.139 -9.935 7.677
Pm 2.478 6.383 4.345
Pm 0.084 3.251 7.789
Pm -7.212 10.591 6.211
Pm 0.203 -1.723 4.939
Pm 1.763 -5.229 9.199
Pm -10.114 5.886 4.689
Pm -6.450 -7.778 7.538
Pm -1.900 8.435 6.350
Pm -8.554 2.380 8.950
Pm -8.435 -2.594 6.099
Pm 0.000 0.000 0.000
Pm -6.653 -6.055 2.599
Pm -4.175 0.328 6.944
Pm 3.733 -0.419 8.578
Pm 1.255 -6.802 4.233
Pm -4.684 -1.245 1.977
Pm -3.667 1.901 11.911
CELL_PARAMETERS angstrom
-15.816 1.495 -3.267
2.509 -13.605 8.466
4.956 12.766 8.690

- Which value of DOS(E_F) does entry 3 give?
  1.707 states/eV per cell